# TcP4Br

A relaxed TcP4Br crystal (PBE, Alexandria via LeMat-Bulk).

Lattice parameters (Å, degrees): 7.9100 7.9100 7.9100 90.00 90.00 90.00
With the nearest neighbours (Å) after each atom.
Space group F-43m (No. 216)
Asymmetric unit:
Tc 0.0000 0.0000 0.0000 [4 per cell]  12 P 3.35, 4 Br 3.43
P 0.1005 0.1005 0.6005 [16 per cell]  3 P 2.25
Br 0.2500 0.2500 0.2500 [4 per cell]  12 P 3.24, 4 Tc 3.43

Computed properties:
Final energy in eV/atom: -4.784
ρ in g cm⁻³: 4.05
Energy relative to the elements, uncorrected in eV/atom: 0.829